Material: GaCoF2
Method: DFT, PBE with a Hubbard U
State: optimized geometry

a = 4.244 Å, b = 4.244 Å, c = 7.340 Å
α = 73.19°, β = 73.19°, γ = 90.00°
Last column: magnetic moment on the atom in μB.
Positions (direct):
Co 0.500 0.500 0.000  2.05
Co 0.250 0.750 0.500  2.05
Ga 0.000 0.000 0.000  -0.03
Ga 0.750 0.250 0.500  -0.03
F 0.553 0.125 0.250  0.01
F 0.197 0.625 0.250  0.01
F 0.375 0.447 0.750  0.01
F 0.875 0.803 0.750  0.01

## Properties
- Symmetry: I-42d (122)
- Offset from the most stable computed form: 263 meV per atom
- Total DFT energy (no corrections): -4.102 eV per atom
- Mass density: 4.6 g/cm³
- Density of states at the Fermi level: 0.000 states/eV per atom
- Crystal system: tetragonal